Record 1
{"formula": "PuGaCuPb", "functional": "PBE-GGA", "state": "optimized geometry", "mass_density_g_cm3": 11.21, "e_form_ev_per_atom": -0.004, "total_magnetization_mub_per_cell": 5.8, "crystal_system": "cubic", "dos_ef_per_ev_cell": 10.2, "lattice_angstrom": [[0.000, 3.512, 3.512], [3.512, 0.000, 3.512], [3.512, 3.512, 0.000]], "species": ["Pu", "Ga", "Cu", "Pb"], "fractional_positions": [[0.000, 0.000, 0.000], [0.250, 0.250, 0.250], [0.750, 0.750, 0.750], [0.500, 0.500, 0.500]]}

Record 2
{"formula": "Rb2GaCuPb", "functional": "PBE-GGA", "state": "optimized geometry", "mass_density_g_cm3": 3.35, "e_form_ev_per_atom": 0.448, "total_magnetization_mub_per_cell": 0.1, "crystal_system": "tetragonal", "dos_ef_per_ev_cell": 12.6, "lattice_angstrom": [[6.897, 0.000, 0.000], [0.000, 6.897, 0.000], [0.000, 0.000, 5.323]], "species": ["Rb", "Rb", "Ga", "Cu", "Pb"], "fractional_positions": [[0.000, 0.500, 0.000], [0.500, 0.000, 0.000], [0.000, 0.000, 0.000], [0.500, 0.500, 0.500], [0.000, 0.000, 0.500]]}

Record 3
{"formula": "GaCuRuPb2", "functional": "PBE-GGA", "state": "optimized geometry", "mass_density_g_cm3": 8.92, "e_form_ev_per_atom": 0.878, "total_magnetization_mub_per_cell": 1.7, "crystal_system": "tetragonal", "dos_ef_per_ev_cell": 6.4, "lattice_angstrom": [[5.052, 0.000, 0.000], [0.000, 5.052, 0.000], [0.000, 0.000, 4.732]], "species": ["Ga", "Cu", "Ru", "Pb", "Pb"], "fractional_positions": [[0.000, 0.000, 0.000], [0.500, 0.500, 0.500], [0.500, 0.500, 0.000], [0.000, 0.500, 0.500], [0.500, 0.000, 0.500]]}